Entry from Alexandria: a relaxed K2RuRh crystal (PBE).

Unit cell a=2.7917 b=5.4884 c=5.4987 alpha=90.00 beta=98.66 gamma=90.00
Last column: nearest neighbours and their distance in Å.
Atoms (fractional coordinates):
K1 0.0297 0.0000 0.2524  4 K 2.75-2.79
K2 0.9703 0.0000 0.7476  4 K 2.75-2.79
Ru1 0.5000 0.5000 0.0000  2 Rh 2.75, 2 Ru 2.79
Rh1 0.5000 0.5000 0.5000  2 Ru 2.75, 2 Rh 2.79

Energy relative to the elements in eV/atom: 1.074
Total DFT energy (no corrections) in eV/cell: -14.52
Energy above the most stable polymorph in this dataset in meV per atom: 542
Size of the total moment in μB/cell: 0.69



Entry from Alexandria: a relaxed AsRuPb2 crystal (PBE).

Unit cell a=7.6733 b=7.6733 c=7.6733 alpha=131.10 beta=131.10 gamma=71.65
Last column: nearest neighbours and their distance in Å.
Atoms (fractional coordinates):
As1 0.0000 0.0000 0.0000  4 Pb 2.82
As2 0.7500 0.2500 0.5000  4 Pb 2.82
Ru1 0.2500 0.7500 0.5000  4 Pb 2.65
Ru2 0.5000 0.5000 0.0000  4 Pb 2.65
Pb1 0.1487 0.6250 0.0237  2 Ru 2.65, 2 As 2.82
Pb2 0.3750 0.3987 0.5237  2 Ru 2.65, 2 As 2.82
Pb3 0.6013 0.1250 0.9763  2 Ru 2.65, 2 As 2.82
Pb4 0.8750 0.8513 0.4763  2 Ru 2.65, 2 As 2.82

Energy relative to the elements in eV/atom: 0.671
Total DFT energy (no corrections) in eV/cell: -37.32
Size of the total moment in μB/cell: 0.00



Entry from Alexandria: a relaxed YCu2Ir crystal (PBE).

Unit cell a=3.9966 b=3.9966 c=4.0723 alpha=90.00 beta=90.00 gamma=90.00
Last column: nearest neighbours and their distance in Å.
Atoms (fractional coordinates):
Y1 0.0000 0.0000 0.0000  4 Ir 2.83, 8 Cu 2.85
Cu1 0.0000 0.5000 0.5000  4 Cu 2.83, 4 Ir 2.85, 4 Y 2.85
Cu2 0.5000 0.0000 0.5000  4 Cu 2.83, 4 Ir 2.85, 4 Y 2.85
Ir1 0.5000 0.5000 0.0000  4 Y 2.83, 8 Cu 2.85

Energy relative to the elements in eV/atom: -0.248
Total DFT energy (no corrections) in eV/cell: -24.51
Energy above the most stable polymorph in this dataset in meV per atom: 34
Size of the total moment in μB/cell: 0.00



Entry from Alexandria: a relaxed Ac3PrY2Te6 crystal (PBE).

Unit cell a=10.3045 b=10.3045 c=9.2969 alpha=104.89 beta=104.89 gamma=25.28
Last column: nearest neighbours and their distance in Å.
Atoms (fractional coordinates):
Ac1 0.0000 0.0000 0.0000  6 Te 3.30-3.37
Ac2 0.3372 0.3372 0.6685  6 Te 3.31-3.37
Ac3 0.6628 0.6628 0.3315  6 Te 3.31-3.37
Pr1 0.0000 0.0000 0.5000  6 Te 3.18-3.22
Y1 0.3346 0.3346 0.1690  6 Te 3.06-3.13
Y2 0.6654 0.6654 0.8310  6 Te 3.06-3.13
Te1 0.1662 0.1662 0.6002  2 Y 3.12, 1 Pr 3.22, 3 Ac 3.33-3.35
Te2 0.1731 0.1731 0.0688  3 Y 3.13, 3 Ac 3.37
Te3 0.4925 0.4925 0.2544  1 Y 3.06, 2 Pr 3.18, 3 Ac 3.30-3.31
Te4 0.5075 0.5075 0.7456  1 Y 3.06, 2 Pr 3.18, 3 Ac 3.30-3.31
Te5 0.8269 0.8269 0.9312  3 Y 3.13, 3 Ac 3.37
Te6 0.8338 0.8338 0.3998  2 Y 3.12, 1 Pr 3.22, 3 Ac 3.33-3.35

Total DFT energy (no corrections) in eV/cell: -65.90
Size of the total moment in μB/cell: 0.00



Look up the total DFT energy (no corrections) of the first one. -14.52 eV/cell



What is the size of the total moment in the second record? 0.00 μB/cell



Which formula does entry 3 have? YCu2Ir



Which of these has the highest total DFT energy (no corrections)? K2RuRh